Record 1
Ba3Er2ThBi6: optimized geometry, PBE-GGA.

Output
energy of formation from the pure elements: -884 kJ/mol of formula units
electronic total energy: -4.56 eV/atom

```
data_Ba3Er2ThBi6
_symmetry_space_group_name_H-M 'C 1 2/m 1'
_symmetry_Int_Tables_number 12
_symmetry_space_group_name_Hall '-C 2y'
_cell_length_a 8.145
_cell_length_b 14.119
_cell_length_c 8.544
_cell_angle_alpha 90.00
_cell_angle_beta 108.55
_cell_angle_gamma 90.00
loop_
_atom_site_label
_atom_site_type_symbol
_atom_site_fract_x
_atom_site_fract_y
_atom_site_fract_z
_atom_site_occupancy
Ba1 Ba 0.000 0.000 0.000 1
Ba2 Ba 0.000 0.335 0.000 1
Er1 Er 0.000 0.167 0.500 1
Th1 Th 0.000 0.500 0.500 1
Bi1 Bi 0.232 0.000 0.712 1
Bi2 Bi 0.240 0.331 0.713 1
```


Record 2
Na2AlTe2S6: optimized geometry, PBE-GGA.

Output
energy relative to the elements, uncorrected: -0.530 eV per atom
electronic total energy: -3.93 eV/atom

```
data_Na2AlTe2S6
_symmetry_space_group_name_H-M 'C 1 2/m 1'
_symmetry_Int_Tables_number 12
_symmetry_space_group_name_Hall '-C 2y'
_cell_length_a 7.110
_cell_length_b 11.024
_cell_length_c 7.239
_cell_angle_alpha 90.00
_cell_angle_beta 110.79
_cell_angle_gamma 90.00
loop_
_atom_site_label
_atom_site_type_symbol
_atom_site_fract_x
_atom_site_fract_y
_atom_site_fract_z
_atom_site_occupancy
Na1 Na 0.000 0.174 0.000 1
Al1 Al 0.000 0.000 0.500 1
Te1 Te 0.000 0.328 0.500 1
S1 S 0.207 0.000 0.295 1
S2 S 0.212 0.160 0.711 1
```


Record 3
Dy4Se3N2: optimized geometry, PBE-GGA.

Output
energy relative to the elements, uncorrected: -1.836 eV per atom
distance to the lowest polymorph of the same formula: 0.0 meV/atom
electronic total energy: -6.89 eV/atom

```
data_Dy4Se3N2
_symmetry_space_group_name_H-M 'C 1 2/m 1'
_symmetry_Int_Tables_number 12
_symmetry_space_group_name_Hall '-C 2y'
_cell_length_a 13.341
_cell_length_b 3.929
_cell_length_c 10.295
_cell_angle_alpha 90.00
_cell_angle_beta 129.54
_cell_angle_gamma 90.00
loop_
_atom_site_label
_atom_site_type_symbol
_atom_site_fract_x
_atom_site_fract_y
_atom_site_fract_z
_atom_site_occupancy
Dy1 Dy 0.058 0.000 0.348 1
Dy2 Dy 0.243 0.500 0.860 1
Se1 Se 0.000 0.500 0.500 1
Se2 Se 0.167 0.500 0.273 1
N1 N 0.148 0.000 0.863 1
```


Record 4
NdGdLuAg: optimized geometry, PBE-GGA.

Output
energy of formation from the pure elements: 15 kJ/mol of formula units
electronic total energy: -6.52 eV/atom

```
data_NdGdLuAg
_symmetry_space_group_name_H-M 'F -4 3 m'
_symmetry_Int_Tables_number 216
_symmetry_space_group_name_Hall 'F -4 2 3'
_cell_length_a 7.659
_cell_length_b 7.659
_cell_length_c 7.659
_cell_angle_alpha 90.00
_cell_angle_beta 90.00
_cell_angle_gamma 90.00
loop_
_atom_site_label
_atom_site_type_symbol
_atom_site_fract_x
_atom_site_fract_y
_atom_site_fract_z
_atom_site_occupancy
Nd1 Nd 0.000 0.000 0.000 1
Gd1 Gd 0.000 0.000 0.500 1
Lu1 Lu 0.250 0.250 0.750 1
Ag1 Ag 0.250 0.250 0.250 1
```


Record 5
Li2SmSnAu4: optimized geometry, PBE-GGA.

Output
energy of formation from the pure elements: -424 kJ/mol of formula units
electronic total energy: -3.76 eV/atom

```
data_Li2SmSnAu4
_symmetry_space_group_name_H-M 'R -3 m'
_symmetry_Int_Tables_number 166
_symmetry_space_group_name_Hall '-R 3 2"'
_cell_length_a 4.5969
_cell_length_b 4.5969
_cell_length_c 26.5273
_cell_angle_alpha 90.00
_cell_angle_beta 90.00
_cell_angle_gamma 120.00
loop_
_atom_site_label
_atom_site_type_symbol
_atom_site_fract_x
_atom_site_fract_y
_atom_site_fract_z
_atom_site_occupancy
Li1 Li 0.0000 0.0000 0.2394 1
Sm1 Sm 0.0000 0.0000 0.0000 1
Sn1 Sn 0.0000 0.0000 0.5000 1
Au1 Au 0.0000 0.0000 0.1193 1
Au2 Au 0.0000 0.0000 0.3913 1
```


Record 6
Cd2Ag8Ge: optimized geometry, PBE-GGA.

Output
energy of formation from the pure elements: 202 kJ/mol of formula units
electronic total energy: -2.47 eV/atom

```
data_Cd2Ag8Ge
_symmetry_space_group_name_H-M 'C 1 2/m 1'
_symmetry_Int_Tables_number 12
_symmetry_space_group_name_Hall '-C 2y'
_cell_length_a 10.652
_cell_length_b 9.241
_cell_length_c 5.072
_cell_angle_alpha 90.00
_cell_angle_beta 109.04
_cell_angle_gamma 90.00
loop_
_atom_site_label
_atom_site_type_symbol
_atom_site_fract_x
_atom_site_fract_y
_atom_site_fract_z
_atom_site_occupancy
Cd1 Cd 0.156 0.000 0.038 1
Ag1 Ag 0.068 0.500 0.796 1
Ag2 Ag 0.084 0.243 0.317 1
Ag3 Ag 0.225 0.500 0.389 1
Ge1 Ge 0.000 0.000 0.500 1
```


Record 7
Ho2TmAl: optimized geometry, PBE-GGA.

Output
energy of formation from the pure elements: 47 kJ/mol of formula units
distance to the lowest polymorph of the same formula: 320.8 meV/atom
electronic total energy: -4.22 eV/atom

```
data_Ho2TmAl
_symmetry_space_group_name_H-M 'R -3 m'
_symmetry_Int_Tables_number 166
_symmetry_space_group_name_Hall '-R 3 2"'
_cell_length_a 3.4281
_cell_length_b 3.4281
_cell_length_c 34.1590
_cell_angle_alpha 90.00
_cell_angle_beta 90.00
_cell_angle_gamma 120.00
loop_
_atom_site_label
_atom_site_type_symbol
_atom_site_fract_x
_atom_site_fract_y
_atom_site_fract_z
_atom_site_occupancy
Ho1 Ho 0.0000 0.0000 0.0994 1
Tm1 Tm 0.0000 0.0000 0.0000 1
Al1 Al 0.0000 0.0000 0.5000 1
```


Record 8
HoSn2Ru: optimized geometry, PBE-GGA.

Output
energy of formation from the pure elements: -185 kJ/mol of formula units
electronic total energy: -5.94 eV/atom

```
data_HoSn2Ru
_symmetry_space_group_name_H-M 'P n m a'
_symmetry_Int_Tables_number 62
_symmetry_space_group_name_Hall '-P 2ac 2n'
_cell_length_a 16.311
_cell_length_b 7.424
_cell_length_c 5.781
_cell_angle_alpha 90.00
_cell_angle_beta 90.00
_cell_angle_gamma 90.00
loop_
_atom_site_label
_atom_site_type_symbol
_atom_site_fract_x
_atom_site_fract_y
_atom_site_fract_z
_atom_site_occupancy
Ho1 Ho 0.106 0.250 0.243 1
Ho2 Ho 0.144 0.750 0.469 1
Sn1 Sn 0.035 0.045 0.741 1
Sn2 Sn 0.213 0.546 0.983 1
Ru1 Ru 0.073 0.750 0.001 1
Ru2 Ru 0.175 0.250 0.726 1
```


Record 9
Tl2HgPb4: optimized geometry, PBE-GGA.

Output
energy of formation from the pure elements: 55 kJ/mol of formula units
distance to the lowest polymorph of the same formula: 0.0 meV/atom
electronic total energy: -2.76 eV/atom

```
data_Tl2HgPb4
_symmetry_space_group_name_H-M 'C 1 2/c 1'
_symmetry_Int_Tables_number 15
_symmetry_space_group_name_Hall '-C 2yc'
_cell_length_a 3.321
_cell_length_b 31.699
_cell_length_c 9.875
_cell_angle_alpha 90.00
_cell_angle_beta 95.58
_cell_angle_gamma 90.00
loop_
_atom_site_label
_atom_site_type_symbol
_atom_site_fract_x
_atom_site_fract_y
_atom_site_fract_z
_atom_site_occupancy
Tl1 Tl 0.000 0.050 0.250 1
Tl2 Tl 0.000 0.301 0.750 1
Hg1 Hg 0.000 0.375 0.250 1
Pb1 Pb 0.011 0.289 0.418 1
Pb2 Pb 0.181 0.460 0.420 1
```


Record 10
HoPa2MnC4: optimized geometry, PBE-GGA.

Output
energy of formation from the pure elements: -132 kJ/mol of formula units
electronic total energy: -8.88 eV/atom

```
data_HoPa2MnC4
_symmetry_space_group_name_H-M 'C m c m'
_symmetry_Int_Tables_number 63
_symmetry_space_group_name_Hall '-C 2c 2'
_cell_length_a 3.533
_cell_length_b 11.408
_cell_length_c 11.956
_cell_angle_alpha 90.00
_cell_angle_beta 90.00
_cell_angle_gamma 90.00
loop_
_atom_site_label
_atom_site_type_symbol
_atom_site_fract_x
_atom_site_fract_y
_atom_site_fract_z
_atom_site_occupancy
Ho1 Ho 0.000 0.113 0.250 1
Pa1 Pa 0.000 0.366 0.047 1
Mn1 Mn 0.000 0.157 0.750 1
C1 C 0.000 0.000 0.000 1
C2 C 0.000 0.264 0.632 1
C3 C 0.000 0.414 0.250 1
```


Record 11
MgBeCr: optimized geometry, PBE-GGA.

Output
energy of formation from the pure elements: 74 kJ/mol of formula units
distance to the lowest polymorph of the same formula: 151.3 meV/atom
electronic total energy: -4.73 eV/atom

```
data_MgBeCr
_symmetry_space_group_name_H-M 'C 1 m 1'
_symmetry_Int_Tables_number 8
_symmetry_space_group_name_Hall 'C -2y'
_cell_length_a 9.176
_cell_length_b 2.983
_cell_length_c 6.333
_cell_angle_alpha 90.00
_cell_angle_beta 111.08
_cell_angle_gamma 90.00
loop_
_atom_site_label
_atom_site_type_symbol
_atom_site_fract_x
_atom_site_fract_y
_atom_site_fract_z
_atom_site_occupancy
Mg1 Mg 0.000 0.000 0.000 1
Mg2 Mg 0.180 0.500 0.793 1
Be1 Be 0.168 0.500 0.352 1
Be2 Be 0.323 0.000 0.583 1
Cr1 Cr 0.331 0.000 0.211 1
Cr2 Cr 0.475 0.500 0.449 1
```


Record 12
As6Ru7: optimized geometry, PBE-GGA.

Output
energy of formation from the pure elements: 280 kJ/mol of formula units
electronic total energy: -6.92 eV/atom

```
data_As6Ru7
_symmetry_space_group_name_H-M 'R -3 m'
_symmetry_Int_Tables_number 166
_symmetry_space_group_name_Hall '-R 3 2"'
_cell_length_a 5.4380
_cell_length_b 5.4380
_cell_length_c 25.2003
_cell_angle_alpha 90.00
_cell_angle_beta 90.00
_cell_angle_gamma 120.00
loop_
_atom_site_label
_atom_site_type_symbol
_atom_site_fract_x
_atom_site_fract_y
_atom_site_fract_z
_atom_site_occupancy
As1 As 0.0000 0.0000 0.0565 1
As2 As 0.0000 0.0000 0.1806 1
As3 As 0.0000 0.0000 0.3328 1
Ru1 Ru 0.0000 0.0000 0.5000 1
Ru2 Ru 0.0039 0.5019 0.0767 1
```


Record 13
CeZr2UP4: optimized geometry, PBE-GGA.

Output
energy of formation from the pure elements: -1028 kJ/mol of formula units
electronic total energy: -8.33 eV/atom

```
data_CeZr2UP4
_symmetry_space_group_name_H-M 'P 1 2/m 1'
_symmetry_Int_Tables_number 10
_symmetry_space_group_name_Hall '-P 2y'
_cell_length_a 6.706
_cell_length_b 3.851
_cell_length_c 6.712
_cell_angle_alpha 90.00
_cell_angle_beta 109.20
_cell_angle_gamma 90.00
loop_
_atom_site_label
_atom_site_type_symbol
_atom_site_fract_x
_atom_site_fract_y
_atom_site_fract_z
_atom_site_occupancy
Ce1 Ce 0.000 0.000 0.000 1
Zr1 Zr 0.500 0.000 0.500 1
Zr2 Zr 0.500 0.500 0.000 1
U1 U 0.000 0.500 0.500 1
P1 P 0.263 0.000 0.750 1
P2 P 0.266 0.500 0.260 1
```


Record 14
KPtI2: optimized geometry, PBE-GGA.

Output
energy relative to the elements, uncorrected: -0.396 eV per atom
distance to the lowest polymorph of the same formula: 0.0 meV/atom
electronic total energy: -2.96 eV/atom

```
data_KPtI2
_symmetry_space_group_name_H-M 'I -4 2 d'
_symmetry_Int_Tables_number 122
_symmetry_space_group_name_Hall 'I -4 2bw'
_cell_length_a 6.875
_cell_length_b 6.875
_cell_length_c 14.628
_cell_angle_alpha 90.00
_cell_angle_beta 90.00
_cell_angle_gamma 90.00
loop_
_atom_site_label
_atom_site_type_symbol
_atom_site_fract_x
_atom_site_fract_y
_atom_site_fract_z
_atom_site_occupancy
K1 K 0.000 0.000 0.000 1
Pt1 Pt 0.000 0.000 0.500 1
I1 I 0.147 0.250 0.625 1
```


Record 15
Li2RhBr: optimized geometry, PBE-GGA.

Output
energy relative to the elements, uncorrected: -0.209 eV per atom
distance to the lowest polymorph of the same formula: 180.4 meV/atom
electronic total energy: -3.42 eV/atom

```
data_Li2RhBr
_symmetry_space_group_name_H-M 'I -4 2 d'
_symmetry_Int_Tables_number 122
_symmetry_space_group_name_Hall 'I -4 2bw'
_cell_length_a 7.051
_cell_length_b 7.051
_cell_length_c 5.226
_cell_angle_alpha 90.00
_cell_angle_beta 90.00
_cell_angle_gamma 90.00
loop_
_atom_site_label
_atom_site_type_symbol
_atom_site_fract_x
_atom_site_fract_y
_atom_site_fract_z
_atom_site_occupancy
Li1 Li 0.240 0.250 0.125 1
Rh1 Rh 0.000 0.000 0.500 1
Br1 Br 0.000 0.000 0.000 1
```


Record 16
Pr2ScPbO6: optimized geometry, PBE-GGA.

Output
energy relative to the elements, uncorrected: -2.713 eV per atom
electronic total energy: -7.65 eV/atom

```
data_Pr2ScPbO6
_symmetry_space_group_name_H-M 'P 1 21/c 1'
_symmetry_Int_Tables_number 14
_symmetry_space_group_name_Hall '-P 2ybc'
_cell_length_a 5.769
_cell_length_b 6.082
_cell_length_c 10.252
_cell_angle_alpha 90.00
_cell_angle_beta 124.11
_cell_angle_gamma 90.00
loop_
_atom_site_label
_atom_site_type_symbol
_atom_site_fract_x
_atom_site_fract_y
_atom_site_fract_z
_atom_site_occupancy
Pr1 Pr 0.231 0.060 0.253 1
Sc1 Sc 0.000 0.000 0.500 1
Pb1 Pb 0.500 0.000 0.000 1
O1 O 0.100 0.211 0.921 1
O2 O 0.227 0.682 0.935 1
O3 O 0.368 0.064 0.733 1
```


Record 17
TlSiAu: optimized geometry, PBE-GGA.

Output
energy relative to the elements, uncorrected: 0.526 eV per atom
electronic total energy: -3.16 eV/atom

```
data_TlSiAu
_symmetry_space_group_name_H-M 'P 63/m m c'
_symmetry_Int_Tables_number 194
_symmetry_space_group_name_Hall '-P 6c 2c'
_cell_length_a 5.1064
_cell_length_b 5.1064
_cell_length_c 5.6767
_cell_angle_alpha 90.00
_cell_angle_beta 90.00
_cell_angle_gamma 120.00
loop_
_atom_site_label
_atom_site_type_symbol
_atom_site_fract_x
_atom_site_fract_y
_atom_site_fract_z
_atom_site_occupancy
Tl1 Tl 0.3333 0.6667 0.2500 1
Si1 Si 0.3333 0.6667 0.7500 1
Au1 Au 0.0000 0.0000 0.0000 1
```


Record 18
TaCoCu2: optimized geometry, PBE-GGA.

Output
energy of formation from the pure elements: 212 kJ/mol of formula units
distance to the lowest polymorph of the same formula: 524.7 meV/atom
electronic total energy: -6.24 eV/atom

```
data_TaCoCu2
_symmetry_space_group_name_H-M 'I -4 2 d'
_symmetry_Int_Tables_number 122
_symmetry_space_group_name_Hall 'I -4 2bw'
_cell_length_a 6.841
_cell_length_b 6.841
_cell_length_c 4.823
_cell_angle_alpha 90.00
_cell_angle_beta 90.00
_cell_angle_gamma 90.00
loop_
_atom_site_label
_atom_site_type_symbol
_atom_site_fract_x
_atom_site_fract_y
_atom_site_fract_z
_atom_site_occupancy
Ta1 Ta 0.000 0.000 0.000 1
Co1 Co 0.000 0.000 0.500 1
Cu1 Cu 0.221 0.750 0.625 1
```


Record 19
GeMoSe2: optimized geometry, PBE-GGA.

Output
energy relative to the elements, uncorrected: -0.118 eV per atom
electronic total energy: -5.72 eV/atom

```
data_GeMoSe2
_symmetry_space_group_name_H-M 'R -3 m'
_symmetry_Int_Tables_number 166
_symmetry_space_group_name_Hall '-R 3 2"'
_cell_length_a 3.2467
_cell_length_b 3.2467
_cell_length_c 27.4614
_cell_angle_alpha 90.00
_cell_angle_beta 90.00
_cell_angle_gamma 120.00
loop_
_atom_site_label
_atom_site_type_symbol
_atom_site_fract_x
_atom_site_fract_y
_atom_site_fract_z
_atom_site_occupancy
Ge1 Ge 0.0000 0.0000 0.0000 1
Mo1 Mo 0.0000 0.0000 0.5000 1
Se1 Se 0.0000 0.0000 0.1029 1
```


Record 20
Er8GaNi2: optimized geometry, PBE-GGA.

Output
energy of formation from the pure elements: -298 kJ/mol of formula units
distance to the lowest polymorph of the same formula: 0.0 meV/atom
electronic total energy: -4.93 eV/atom

```
data_Er8GaNi2
_symmetry_space_group_name_H-M 'C 1 2/m 1'
_symmetry_Int_Tables_number 12
_symmetry_space_group_name_Hall '-C 2y'
_cell_length_a 17.243
_cell_length_b 4.966
_cell_length_c 6.714
_cell_angle_alpha 90.00
_cell_angle_beta 107.92
_cell_angle_gamma 90.00
loop_
_atom_site_label
_atom_site_type_symbol
_atom_site_fract_x
_atom_site_fract_y
_atom_site_fract_z
_atom_site_occupancy
Er1 Er 0.036 0.000 0.282 1
Er2 Er 0.095 0.500 0.971 1
Er3 Er 0.177 0.500 0.487 1
Er4 Er 0.198 0.000 0.830 1
Ga1 Ga 0.000 0.500 0.500 1
Ni1 Ni 0.181 0.000 0.211 1
```